# 1
CaTb14Ho after structural relaxation, computed with PBE-GGA.

The structure in CIF format:
```
data_CaTb14Ho
_space_group_name_H-M_alt 'P 1'
_space_group_IT_number 1
_cell_length_a 7.291
_cell_length_b 7.291
_cell_length_c 11.362
_cell_angle_alpha 90.00
_cell_angle_beta 90.00
_cell_angle_gamma 119.99
loop_
_space_group_symop_operation_xyz
'x,y,z'
loop_
_atom_site_label
_atom_site_type_symbol
_atom_site_fract_x
_atom_site_fract_y
_atom_site_fract_z
_atom_site_occupancy
Tb1 Tb 0.333 0.667 0.753 1
Tb2 Tb 0.665 0.833 0.000 1
Tb3 Tb 0.836 0.671 0.747 1
Ho1 Ho 0.167 0.833 0.000 1
Tb4 Tb 0.836 0.671 0.253 1
Tb5 Tb 0.167 0.335 0.000 1
Ca1 Ca 0.667 0.333 0.000 1
Tb6 Tb 0.836 0.164 0.747 1
Tb7 Tb 0.667 0.333 0.500 1
Tb8 Tb 0.167 0.833 0.500 1
Tb9 Tb 0.167 0.333 0.500 1
Tb10 Tb 0.329 0.164 0.747 1
Tb11 Tb 0.329 0.164 0.253 1
Tb12 Tb 0.667 0.833 0.500 1
Tb13 Tb 0.333 0.667 0.247 1
Tb14 Tb 0.836 0.164 0.253 1
```

Summary:
* total energy: -4.432 eV per atom
* energy of formation from the pure elements: 0.03 eV/atom

# 2
K3SmBr6 after structural relaxation, computed with PBE-GGA.

The structure in CIF format:
```
data_K3SmBr6
_space_group_name_H-M_alt 'P 1'
_space_group_IT_number 1
_cell_length_a 7.937
_cell_length_b 8.485
_cell_length_c 11.391
_cell_angle_alpha 90.00
_cell_angle_beta 88.33
_cell_angle_gamma 90.00
loop_
_space_group_symop_operation_xyz
'x,y,z'
loop_
_atom_site_label
_atom_site_type_symbol
_atom_site_fract_x
_atom_site_fract_y
_atom_site_fract_z
_atom_site_occupancy
Br1 Br 0.291 0.820 0.059 1
Sm1 Sm 0.500 0.500 0.500 1
Br2 Br 0.638 0.439 0.268 1
K1 K 0.968 0.421 0.740 1
Br3 Br 0.862 0.939 0.232 1
Br4 Br 0.167 0.281 0.081 1
K2 K 0.468 0.079 0.240 1
K3 K 0.500 0.500 0.000 1
K4 K 0.032 0.579 0.260 1
K5 K 0.000 0.000 0.500 1
Br5 Br 0.709 0.180 0.941 1
Br6 Br 0.833 0.719 0.919 1
Br7 Br 0.362 0.561 0.732 1
Br8 Br 0.209 0.320 0.441 1
Br9 Br 0.791 0.680 0.559 1
Br10 Br 0.138 0.061 0.768 1
Sm2 Sm 0.000 0.000 0.000 1
Br11 Br 0.333 0.781 0.419 1
Br12 Br 0.667 0.219 0.581 1
K6 K 0.532 0.921 0.760 1
```

Summary:
* E_form (uncorrected): -1826 meV per atom
* total energy: -3.631 eV per atom

# 3
Al3Ag2Au8 after structural relaxation, computed with PBE-GGA.

The structure in CIF format:
```
data_Al3Ag2Au8
_space_group_name_H-M_alt 'P 1'
_space_group_IT_number 1
_cell_length_a 4.285
_cell_length_b 7.782
_cell_length_c 7.782
_cell_angle_alpha 72.68
_cell_angle_beta 81.91
_cell_angle_gamma 81.90
loop_
_space_group_symop_operation_xyz
'x,y,z'
loop_
_atom_site_label
_atom_site_type_symbol
_atom_site_fract_x
_atom_site_fract_y
_atom_site_fract_z
_atom_site_occupancy
Au1 Au 0.561 0.094 0.638 1
Au2 Au 0.439 0.362 0.906 1
Au3 Au 0.206 0.574 0.574 1
Al1 Al 0.000 0.256 0.744 1
Au4 Au 0.439 0.906 0.362 1
Al2 Al 0.000 0.744 0.256 1
Au5 Au 0.794 0.426 0.426 1
Au6 Au 0.062 0.872 0.872 1
Au7 Au 0.561 0.638 0.094 1
Ag1 Ag 0.636 0.714 0.714 1
Al3 Al 0.500 0.000 0.000 1
Ag2 Ag 0.364 0.286 0.286 1
Au8 Au 0.938 0.128 0.128 1
```

Summary:
* polymorph energy (0 for the lowest one): 9 meV/atom
* total energy: -3.465 eV per atom
* energy of formation from the pure elements: -0.15 eV/atom

# 4
SrCd6Hg4 after structural relaxation, computed with PBE-GGA.

The structure in CIF format:
```
data_SrCd6Hg4
_space_group_name_H-M_alt 'P 1'
_space_group_IT_number 1
_cell_length_a 7.824
_cell_length_b 7.824
_cell_length_c 7.824
_cell_angle_alpha 82.00
_cell_angle_beta 124.72
_cell_angle_gamma 124.72
loop_
_space_group_symop_operation_xyz
'x,y,z'
loop_
_atom_site_label
_atom_site_type_symbol
_atom_site_fract_x
_atom_site_fract_y
_atom_site_fract_z
_atom_site_occupancy
Hg1 Hg 0.482 0.914 0.914 1
Cd1 Cd 0.317 0.557 0.557 1
Hg2 Hg 0.518 0.432 0.432 1
Cd2 Cd 0.000 0.760 0.443 1
Hg3 Hg 0.000 0.086 0.568 1
Hg4 Hg 0.000 0.568 0.086 1
Cd3 Cd 0.683 0.240 0.240 1
Cd4 Cd 0.500 0.500 0.000 1
Cd5 Cd 0.000 0.443 0.760 1
Sr1 Sr 0.000 0.000 0.000 1
Cd6 Cd 0.500 0.000 0.500 1
```

Summary:
* polymorph energy (0 for the lowest one): 71 meV/atom
* total energy: -0.823 eV per atom
* energy of formation from the pure elements: -0.06 eV/atom

# 5
Sc2NiPb after structural relaxation, computed with PBE-GGA.

The structure in CIF format:
```
data_Sc2NiPb
_space_group_name_H-M_alt 'P 1'
_space_group_IT_number 1
_cell_length_a 4.576
_cell_length_b 7.533
_cell_length_c 3.857
_cell_angle_alpha 59.22
_cell_angle_beta 89.99
_cell_angle_gamma 127.40
loop_
_space_group_symop_operation_xyz
'x,y,z'
loop_
_atom_site_label
_atom_site_type_symbol
_atom_site_fract_x
_atom_site_fract_y
_atom_site_fract_z
_atom_site_occupancy
Ni1 Ni 0.500 0.500 0.000 1
Sc1 Sc 0.000 0.500 0.500 1
Sc2 Sc 0.000 0.000 0.000 1
Pb1 Pb 0.500 0.000 0.500 1
```

Summary:
* total energy: -5.823 eV per atom
* energy of formation from the pure elements: -0.28 eV/atom

# 6
Sr2GaOsO6 after structural relaxation, computed with PBE-GGA.

The structure in CIF format:
```
data_Sr2GaOsO6
_space_group_name_H-M_alt 'P 1'
_space_group_IT_number 1
_cell_length_a 5.603
_cell_length_b 5.603
_cell_length_c 5.603
_cell_angle_alpha 60.00
_cell_angle_beta 60.00
_cell_angle_gamma 60.00
loop_
_space_group_symop_operation_xyz
'x,y,z'
loop_
_atom_site_label
_atom_site_type_symbol
_atom_site_fract_x
_atom_site_fract_y
_atom_site_fract_z
_atom_site_occupancy
Ga1 Ga 0.500 0.500 0.500 1
O1 O 0.750 0.250 0.750 1
O2 O 0.250 0.750 0.250 1
O3 O 0.750 0.250 0.250 1
Sr1 Sr 0.750 0.750 0.750 1
O4 O 0.750 0.750 0.250 1
Os1 Os 0.000 0.000 0.000 1
Sr2 Sr 0.250 0.250 0.250 1
O5 O 0.250 0.750 0.750 1
O6 O 0.250 0.250 0.750 1
```

Summary:
* E_form (uncorrected): -1996 meV per atom
* total energy: -6.733 eV per atom

# 7
KSmTl2Cl6 after structural relaxation, computed with PBE-GGA.

The structure in CIF format:
```
data_KSmTl2Cl6
_space_group_name_H-M_alt 'P 1'
_space_group_IT_number 1
_cell_length_a 7.845
_cell_length_b 7.845
_cell_length_c 8.042
_cell_angle_alpha 60.78
_cell_angle_beta 60.79
_cell_angle_gamma 59.97
loop_
_space_group_symop_operation_xyz
'x,y,z'
loop_
_atom_site_label
_atom_site_type_symbol
_atom_site_fract_x
_atom_site_fract_y
_atom_site_fract_z
_atom_site_occupancy
K1 K 0.813 0.813 0.560 1
Cl1 Cl 0.990 0.570 0.251 1
Tl1 Tl 0.532 0.531 0.406 1
Sm1 Sm 0.321 0.320 0.038 1
Tl2 Tl 0.026 0.026 0.923 1
Cl2 Cl 0.123 0.436 0.778 1
Cl3 Cl 0.436 0.663 0.778 1
Cl4 Cl 0.189 0.990 0.251 1
Cl5 Cl 0.570 0.189 0.251 1
Cl6 Cl 0.663 0.123 0.778 1
```

Summary:
* E_form (uncorrected): -1741 meV per atom
* total energy: -3.904 eV per atom

# 8
LiScCdBi after structural relaxation, computed with PBE-GGA.

The structure in CIF format:
```
data_LiScCdBi
_space_group_name_H-M_alt 'P 1'
_space_group_IT_number 1
_cell_length_a 5.057
_cell_length_b 5.057
_cell_length_c 5.057
_cell_angle_alpha 60.00
_cell_angle_beta 60.00
_cell_angle_gamma 60.00
loop_
_space_group_symop_operation_xyz
'x,y,z'
loop_
_atom_site_label
_atom_site_type_symbol
_atom_site_fract_x
_atom_site_fract_y
_atom_site_fract_z
_atom_site_occupancy
Sc1 Sc 0.500 0.500 0.500 1
Cd1 Cd 0.250 0.250 0.250 1
Li1 Li 0.000 0.000 0.000 1
Bi1 Bi 0.750 0.750 0.750 1
```

Summary:
* total energy: -3.562 eV per atom
* energy of formation from the pure elements: -0.30 eV/atom

# 9
CsK2Bi2Pb after structural relaxation, computed with PBE-GGA.

The structure in CIF format:
```
data_CsK2Bi2Pb
_space_group_name_H-M_alt 'P 1'
_space_group_IT_number 1
_cell_length_a 7.791
_cell_length_b 9.605
_cell_length_c 10.011
_cell_angle_alpha 118.67
_cell_angle_beta 112.90
_cell_angle_gamma 90.00
loop_
_space_group_symop_operation_xyz
'x,y,z'
loop_
_atom_site_label
_atom_site_type_symbol
_atom_site_fract_x
_atom_site_fract_y
_atom_site_fract_z
_atom_site_occupancy
Pb1 Pb 0.250 0.500 0.000 1
Bi1 Bi 0.109 0.802 0.219 1
Cs1 Cs 0.750 0.000 0.000 1
Bi2 Bi 0.609 0.416 0.219 1
Cs2 Cs 0.250 0.000 0.000 1
Bi3 Bi 0.891 0.198 0.781 1
K1 K 0.181 0.518 0.363 1
Pb2 Pb 0.750 0.500 0.000 1
K2 K 0.681 0.845 0.363 1
Bi4 Bi 0.391 0.584 0.781 1
K3 K 0.819 0.482 0.637 1
K4 K 0.319 0.155 0.637 1
```

Summary:
* total energy: -2.702 eV per atom
* energy of formation from the pure elements: -0.28 eV/atom

# 10
Sr2ZrTe after structural relaxation, computed with PBE-GGA.

The structure in CIF format:
```
data_Sr2ZrTe
_space_group_name_H-M_alt 'P 1'
_space_group_IT_number 1
_cell_length_a 10.594
_cell_length_b 10.594
_cell_length_c 10.594
_cell_angle_alpha 22.30
_cell_angle_beta 22.30
_cell_angle_gamma 22.30
loop_
_space_group_symop_operation_xyz
'x,y,z'
loop_
_atom_site_label
_atom_site_type_symbol
_atom_site_fract_x
_atom_site_fract_y
_atom_site_fract_z
_atom_site_occupancy
Sr1 Sr 0.987 0.987 0.987 1
Te1 Te 0.250 0.250 0.250 1
Sr2 Sr 0.513 0.513 0.513 1
Zr1 Zr 0.750 0.750 0.750 1
```

Summary:
* E_form (uncorrected): -176 meV per atom
* total energy: -3.940 eV per atom